First-principles (PBE) data for PuZnPdAu after structural relaxation, as listed in Alexandria.

The structure belongs to space group R3m (No. 160, hexagonal axes); the cell edges are 4.4588, 4.4588 and 14.3135 Å and the angles 90.00°, 90.00° and 120.00°. The asymmetric unit holds Pu at (0.0000, 0.0000, 0.0000), Zn at (0.0000, 0.0000, 0.4875), Pd at (0.0000, 0.0000, 0.7828) and Au at (0.0000, 0.0000, 0.2168).

The calculation puts the polymorph energy (0 for the lowest one) at 0 meV/atom. The calculation puts the formation energy from the elements at -39.20 kJ per mole of atoms. The density of states at the Fermi level comes out at 3.9408 states/eV per atom.